Density functional theory data (PBE with a Hubbard U) for MnAlCdF6 after structural relaxation.

Lattice parameters (Å, degrees): 5.448 5.448 10.535 90.00 90.00 120.00
Fractional coordinates of all 18 atoms:
Mn  0.333  0.667  0.250
Mn  0.667  0.333  0.750
Al  0.333  0.667  0.750
Al  0.667  0.333  0.250
Cd  0.000  0.000  0.000
Cd  0.000  0.000  0.500
F  0.043  0.399  0.652
F  0.043  0.644  0.848
F  0.356  0.399  0.848
F  0.356  0.957  0.652
F  0.399  0.043  0.152
F  0.399  0.356  0.348
F  0.601  0.644  0.652
F  0.601  0.957  0.848
F  0.644  0.043  0.348
F  0.644  0.601  0.152
F  0.957  0.356  0.152
F  0.957  0.601  0.348

VASP energy	-95.37	eV/cell